Entry w
This record from Alexandria describes P3RuO9 at its PBEsol-relaxed geometry. The functional is SCAN.

a = 5.0913 Å, b = 7.0867 Å, c = 10.3187 Å
α = 98.20°, β = 92.21°, γ = 92.11°
Positions (direct):
P 0.0006 0.3410 0.1422
P 0.0218 0.9522 0.6782
P 0.2626 0.6944 0.2692
P 0.7374 0.3056 0.7308
P 0.9782 0.0478 0.3218
P 0.9994 0.6590 0.8578
Ru 0.5000 0.0000 0.5000
Ru 0.5000 0.5000 0.0000
O 0.0183 0.8301 0.2649
O 0.0427 0.1443 0.1951
O 0.1168 0.4905 0.2654
O 0.1662 0.3439 0.0250
O 0.1724 0.1194 0.4329
O 0.2916 0.6368 0.8751
O 0.3095 0.9266 0.6541
O 0.4094 0.7374 0.4002
O 0.4143 0.7031 0.1477
O 0.5857 0.2969 0.8523
O 0.5906 0.2626 0.5998
O 0.6905 0.0734 0.3459
O 0.7084 0.3632 0.1249
O 0.8276 0.8806 0.5671
O 0.8338 0.6561 0.9750
O 0.8832 0.5095 0.7346
O 0.9573 0.8557 0.8049
O 0.9817 0.1699 0.7351

Calculated values
* space group: No. 2



Entry x
This record from Alexandria describes P3RuO9 at its PBEsol-relaxed geometry. The functional is SCAN.

a = 6.3223 Å, b = 15.3740 Å, c = 8.4054 Å
α = 90.00°, β = 106.43°, γ = 90.00°
Positions (direct):
P 0.0896 0.1138 0.2950
P 0.0896 0.3862 0.7950
P 0.2937 0.6598 0.4847
P 0.2937 0.8402 0.9847
P 0.3513 0.5444 0.7806
P 0.3513 0.9556 0.2806
P 0.6487 0.0444 0.7194
P 0.6487 0.4556 0.2194
P 0.7063 0.1598 0.0153
P 0.7063 0.3402 0.5153
P 0.9104 0.6138 0.2050
P 0.9104 0.8862 0.7050
Ru 0.3812 0.6370 0.1243
Ru 0.3812 0.8630 0.6243
Ru 0.6188 0.1370 0.3757
Ru 0.6188 0.3630 0.8757
O 0.0376 0.6522 0.3838
O 0.0376 0.8478 0.8838
O 0.0589 0.6125 0.0944
O 0.0589 0.8875 0.5944
O 0.1362 0.0156 0.2497
O 0.1362 0.4844 0.7497
O 0.3011 0.1630 0.3583
O 0.3011 0.3370 0.8583
O 0.3185 0.7354 0.5993
O 0.3185 0.7646 0.0993
O 0.3249 0.6240 0.8772
O 0.3249 0.8760 0.3772
O 0.3322 0.5731 0.5950
O 0.3322 0.9269 0.0950
O 0.4385 0.6509 0.3715
O 0.4385 0.8491 0.8715
O 0.4406 0.5080 0.1556
O 0.4406 0.9920 0.6556
O 0.5594 0.0080 0.3444
O 0.5594 0.4920 0.8444
O 0.5615 0.1509 0.1285
O 0.5615 0.3491 0.6285
O 0.6678 0.0731 0.9050
O 0.6678 0.4269 0.4050
O 0.6751 0.1240 0.6228
O 0.6751 0.3760 0.1228
O 0.6815 0.2354 0.9007
O 0.6815 0.2646 0.4007
O 0.6989 0.6630 0.1417
O 0.6989 0.8370 0.6417
O 0.8638 0.5156 0.2503
O 0.8638 0.9844 0.7503
O 0.9411 0.1125 0.4056
O 0.9411 0.3875 0.9056
O 0.9624 0.1522 0.1162
O 0.9624 0.3478 0.6162

Calculated values
* space group: No. 14



entry w wins, 1.0 kJ/mol of atoms ahead of the next structure.



Entry w
This record from Alexandria describes TeP2SO at its PBEsol-relaxed geometry. The functional is SCAN.

a = 3.8395 Å, b = 3.8395 Å, c = 6.0537 Å
α = 90.00°, β = 90.00°, γ = 90.00°
Positions (direct):
Te 0.0000 0.0000 0.0000
P 0.0000 0.5000 0.5000
P 0.5000 0.0000 0.5000
S 0.5000 0.5000 0.0000
O 0.5000 0.5000 0.5000

Calculated values
* space group: No. 123



Entry x
This record from Alexandria describes TeP2SO at its PBEsol-relaxed geometry. The functional is SCAN.

a = 5.0995 Å, b = 5.0995 Å, c = 4.9641 Å
α = 90.00°, β = 90.00°, γ = 90.00°
Positions (direct):
Te 0.0000 0.0000 0.0000
P 0.0000 0.5000 0.0000
P 0.5000 0.0000 0.0000
S 0.0000 0.0000 0.5000
O 0.5000 0.5000 0.5000

Calculated values
* space group: No. 123



entry w wins, 103.9 kJ/mol of atoms ahead of the next structure.



Entry w
This record from Alexandria describes SbP2O7 at its PBEsol-relaxed geometry. The functional is SCAN.

a = 8.0447 Å, b = 16.2667 Å, c = 8.0939 Å
α = 90.00°, β = 90.00°, γ = 90.00°
Positions (direct):
Sb 0.0165 0.1292 0.0000
Sb 0.0185 0.3786 0.5209
Sb 0.4815 0.8786 0.0209
Sb 0.4835 0.6292 0.5000
Sb 0.5165 0.3708 0.0000
Sb 0.5185 0.1214 0.5209
Sb 0.9815 0.6214 0.0209
Sb 0.9835 0.8708 0.5000
P 0.0768 0.5704 0.6397
P 0.1067 0.8117 0.8954
P 0.1092 0.3263 0.9013
P 0.1247 0.0924 0.6179
P 0.3753 0.5924 0.1179
P 0.3908 0.8263 0.4013
P 0.3933 0.3117 0.3954
P 0.4232 0.0704 0.1397
P 0.5768 0.9296 0.6397
P 0.6067 0.6883 0.8954
P 0.6092 0.1737 0.9013
P 0.6247 0.4076 0.6179
P 0.8753 0.9076 0.1179
P 0.8908 0.6737 0.4013
P 0.8933 0.1883 0.3954
P 0.9232 0.4296 0.1397
O 0.0056 0.3240 0.7387
O 0.0236 0.0172 0.6456
O 0.0352 0.4268 0.2965
O 0.0482 0.4089 0.9925
O 0.0547 0.1454 0.4625
O 0.0585 0.2557 0.0132
O 0.0790 0.7184 0.9134
O 0.1250 0.4791 0.6091
O 0.1332 0.8356 0.7185
O 0.1417 0.1523 0.7614
O 0.1988 0.5687 0.0485
O 0.2080 0.8374 0.3677
O 0.2259 0.6249 0.6403
O 0.2465 0.3350 0.5086
O 0.2535 0.8350 0.0086
O 0.2741 0.1249 0.1403
O 0.2920 0.3374 0.8677
O 0.3012 0.0687 0.5485
O 0.3583 0.6523 0.2614
O 0.3668 0.3356 0.2185
O 0.3750 0.9791 0.1091
O 0.4210 0.2184 0.4134
O 0.4415 0.7557 0.5132
O 0.4453 0.6454 0.9625
O 0.4518 0.9089 0.4925
O 0.4648 0.9268 0.7965
O 0.4764 0.5172 0.1456
O 0.4944 0.8240 0.2387
O 0.5056 0.1760 0.7387
O 0.5236 0.4828 0.6456
O 0.5352 0.0732 0.2965
O 0.5482 0.0911 0.9925
O 0.5547 0.3546 0.4625
O 0.5585 0.2443 0.0132
O 0.5790 0.7816 0.9134
O 0.6250 0.0209 0.6091
O 0.6332 0.6644 0.7185
O 0.6417 0.3477 0.7614
O 0.6988 0.9313 0.0485
O 0.7080 0.6626 0.3677
O 0.7259 0.8751 0.6403
O 0.7465 0.1650 0.5086
O 0.7535 0.6650 0.0086
O 0.7741 0.3751 0.1403
O 0.7920 0.1626 0.8677
O 0.8012 0.4313 0.5485
O 0.8583 0.8477 0.2614
O 0.8668 0.1644 0.2185
O 0.8750 0.5209 0.1091
O 0.9210 0.2816 0.4134
O 0.9415 0.7443 0.5132
O 0.9453 0.8546 0.9625
O 0.9518 0.5911 0.4925
O 0.9648 0.5732 0.7965
O 0.9764 0.9828 0.1456
O 0.9944 0.6760 0.2387

Calculated values
* space group: No. 33



Entry x
This record from Alexandria describes SbP2O7 at its PBEsol-relaxed geometry. The functional is SCAN.

a = 4.9995 Å, b = 8.3954 Å, c = 7.1945 Å
α = 90.00°, β = 108.40°, γ = 90.00°
Positions (direct):
Sb 0.2170 0.0000 0.2262
Sb 0.7830 0.5000 0.7738
P 0.2141 0.7314 0.6007
P 0.3966 0.3154 0.0135
P 0.6034 0.8154 0.9865
P 0.7859 0.2314 0.3993
O 0.0499 0.1933 0.3420
O 0.1247 0.8312 0.4139
O 0.1838 0.4517 0.9742
O 0.2683 0.1484 0.0042
O 0.3835 0.5823 0.5872
O 0.4109 0.8482 0.7648
O 0.4150 0.8164 0.1184
O 0.5850 0.3164 0.8816
O 0.5891 0.3482 0.2352
O 0.6165 0.0823 0.4128
O 0.7317 0.6484 0.9958
O 0.8162 0.9517 0.0258
O 0.8753 0.3312 0.5861
O 0.9501 0.6933 0.6580

Calculated values
* space group: No. 4



entry w wins, 6.9 kJ/mol of atoms ahead of the next structure.



Entry w
This record from Alexandria describes SbPO5 at its PBEsol-relaxed geometry. The functional is SCAN.

a = 10.1802 Å, b = 9.0279 Å, c = 6.8871 Å
α = 78.26°, β = 60.26°, γ = 41.48°
Positions (direct):
Sb 0.0000 0.0000 0.0000
Sb 0.0000 0.0000 0.5000
Sb 0.0000 0.5000 0.0000
Sb 0.5000 0.0000 0.0000
P 0.1602 0.1602 0.5898
P 0.4102 0.4102 0.8398
P 0.5898 0.5898 0.1602
P 0.8398 0.8398 0.4102
O 0.0172 0.7721 0.4462
O 0.0497 0.0497 0.2003
O 0.0506 0.3785 0.7210
O 0.2003 0.2003 0.0497
O 0.2279 0.9828 0.7356
O 0.2644 0.4462 0.7721
O 0.2790 0.6501 0.9494
O 0.3499 0.7210 0.3785
O 0.3785 0.0506 0.3499
O 0.4462 0.2644 0.0172
O 0.5538 0.7356 0.9828
O 0.6215 0.9494 0.6501
O 0.6501 0.2790 0.6215
O 0.7210 0.3499 0.0506
O 0.7356 0.5538 0.2279
O 0.7721 0.0172 0.2644
O 0.7997 0.7997 0.9503
O 0.9494 0.6215 0.2790
O 0.9503 0.9503 0.7997
O 0.9828 0.2279 0.5538

Calculated values
* space group: No. 70



Entry x
This record from Alexandria describes SbPO5 at its PBEsol-relaxed geometry. The functional is SCAN.

a = 5.3015 Å, b = 5.3015 Å, c = 7.0741 Å
α = 106.34°, β = 106.34°, γ = 100.36°
Positions (direct):
Sb 0.0000 0.0000 0.0000
Sb 0.0000 0.0000 0.5000
P 0.3296 0.6704 0.7500
P 0.6704 0.3296 0.2500
O 0.0948 0.9052 0.2500
O 0.1251 0.6821 0.8691
O 0.2568 0.3772 0.5932
O 0.3179 0.8749 0.6309
O 0.3772 0.2568 0.0932
O 0.6228 0.7432 0.9068
O 0.6821 0.1251 0.3691
O 0.7432 0.6228 0.4068
O 0.8749 0.3179 0.1309
O 0.9052 0.0948 0.7500

Calculated values
* space group: No. 15



entry x wins, 4.4 kJ/mol of atoms ahead of the next structure.



Entry w
This record from Alexandria describes ScTcP2O at its PBEsol-relaxed geometry. The functional is SCAN.

a = 4.7377 Å, b = 4.7377 Å, c = 3.6335 Å
α = 90.00°, β = 90.00°, γ = 90.00°
Positions (direct):
Sc 0.0000 0.0000 0.0000
Tc 0.5000 0.5000 0.5000
P 0.0000 0.5000 0.5000
P 0.5000 0.0000 0.5000
O 0.5000 0.5000 0.0000

Calculated values
* space group: No. 123



Entry x
This record from Alexandria describes ScTcP2O at its PBEsol-relaxed geometry. The functional is SCAN.

a = 4.9194 Å, b = 4.9194 Å, c = 3.7605 Å
α = 90.00°, β = 90.00°, γ = 90.00°
Positions (direct):
Sc 0.0000 0.0000 0.0000
Tc 0.5000 0.5000 0.5000
P 0.0000 0.5000 0.0000
P 0.5000 0.0000 0.0000
O 0.0000 0.0000 0.5000

Calculated values
* space group: No. 123



entry w wins, 67.3 kJ/mol of atoms ahead of the next structure.



Entry w
This record from Alexandria describes Sn4P3O12 at its PBEsol-relaxed geometry. The functional is SCAN.

a = 9.8349 Å, b = 9.8349 Å, c = 9.8349 Å
α = 56.85°, β = 56.85°, γ = 56.85°
Positions (direct):
Sn 0.0000 0.0000 0.0000
Sn 0.0806 0.9444 0.3984
Sn 0.3984 0.0806 0.9444
Sn 0.4444 0.5806 0.8984
Sn 0.5000 0.5000 0.5000
Sn 0.5806 0.8984 0.4444
Sn 0.8984 0.4444 0.5806
Sn 0.9444 0.3984 0.0806
P 0.0411 0.6101 0.1468
P 0.1101 0.5411 0.6468
P 0.1468 0.0411 0.6101
P 0.5411 0.6468 0.1101
P 0.6101 0.1468 0.0411
P 0.6468 0.1101 0.5411
O 0.0090 0.0678 0.5575
O 0.0575 0.5678 0.5090
O 0.0678 0.5575 0.0090
O 0.1065 0.2139 0.6171
O 0.1171 0.7139 0.6065
O 0.1492 0.9018 0.7917
O 0.2139 0.6171 0.1065
O 0.2917 0.4018 0.6492
O 0.3243 0.9833 0.4702
O 0.4018 0.6492 0.2917
O 0.4702 0.3243 0.9833
O 0.4833 0.8243 0.9702
O 0.5090 0.0575 0.5678
O 0.5575 0.0090 0.0678
O 0.5678 0.5090 0.0575
O 0.6065 0.1171 0.7139
O 0.6171 0.1065 0.2139
O 0.6492 0.2917 0.4018
O 0.7139 0.6065 0.1171
O 0.7917 0.1492 0.9018
O 0.8243 0.9702 0.4833
O 0.9018 0.7917 0.1492
O 0.9702 0.4833 0.8243
O 0.9833 0.4702 0.3243

Calculated values
* space group: No. 161



Entry x
This record from Alexandria describes Sn4P3O12 at its PBEsol-relaxed geometry. The functional is SCAN.

a = 9.5943 Å, b = 9.5943 Å, c = 6.8957 Å
α = 90.00°, β = 90.00°, γ = 120.00°
Positions (direct):
Sn 0.0252 0.2580 0.0000
Sn 0.2328 0.9748 0.0000
Sn 0.2580 0.2328 0.5000
Sn 0.3333 0.6667 0.6845
Sn 0.6667 0.3333 0.1845
Sn 0.7420 0.7672 0.0000
Sn 0.7672 0.0252 0.5000
Sn 0.9748 0.7420 0.5000
P 0.0222 0.6099 0.9743
P 0.3901 0.4123 0.9743
P 0.4123 0.0222 0.4743
P 0.5877 0.9778 0.9743
P 0.6099 0.5877 0.4743
P 0.9778 0.3901 0.4743
O 0.0693 0.7132 0.7847
O 0.0906 0.7340 0.1411
O 0.1070 0.5082 0.9567
O 0.1615 0.4981 0.4923
O 0.2660 0.3566 0.1411
O 0.2868 0.3561 0.7847
O 0.3366 0.8385 0.4923
O 0.3561 0.0693 0.2847
O 0.3566 0.0906 0.6411
O 0.4012 0.8930 0.9567
O 0.4918 0.5988 0.9567
O 0.4981 0.3366 0.9923
O 0.5019 0.6634 0.4923
O 0.5082 0.4012 0.4567
O 0.5988 0.1070 0.4567
O 0.6434 0.9094 0.1411
O 0.6439 0.9307 0.7847
O 0.6634 0.1615 0.9923
O 0.7132 0.6439 0.2847
O 0.7340 0.6434 0.6411
O 0.8385 0.5019 0.9923
O 0.8930 0.4918 0.4567
O 0.9094 0.2660 0.6411
O 0.9307 0.2868 0.2847

Calculated values
* space group: No. 173



entry x wins, 2.4 kJ/mol of atoms ahead of the next structure.



Entry w
This record from Alexandria describes SrP2O2 at its PBEsol-relaxed geometry. The functional is SCAN.

a = 4.2414 Å, b = 4.2414 Å, c = 6.5726 Å
α = 90.00°, β = 90.00°, γ = 90.00°
Positions (direct):
Sr 0.0000 0.0000 0.0000
P 0.0000 0.0000 0.5000
P 0.5000 0.5000 0.5000
O 0.0000 0.5000 0.0000
O 0.5000 0.0000 0.0000

Calculated values
* space group: No. 123



Entry x
This record from Alexandria describes SrP2O2 at its PBEsol-relaxed geometry. The functional is SCAN.

a = 7.0564 Å, b = 7.0564 Å, c = 3.6190 Å
α = 90.00°, β = 90.00°, γ = 90.00°
Positions (direct):
Sr 0.0000 0.0000 0.0000
Sr 0.5000 0.5000 0.0000
P 0.1056 0.3944 0.0000
P 0.3944 0.8944 0.0000
P 0.6056 0.1056 0.0000
P 0.8944 0.6056 0.0000
O 0.1495 0.3505 0.5000
O 0.3505 0.8505 0.5000
O 0.6495 0.1495 0.5000
O 0.8505 0.6495 0.5000

Calculated values
* space group: No. 127



entry x wins, 128.0 kJ/mol of atoms ahead of the next structure.